Record 1
DFT (PBE) results for an optimized crystal structure of Er2ScZn3.

a b c (Å): 3.4748 3.4748 10.4370
angles (deg): 90.00 90.00 90.00
Space group P4/mmm (No. 123)
Asymmetric unit:
Er: 0.0000 0.0000 0.1720 [2 per cell]
Sc: 0.0000 0.0000 0.5000 [1 per cell]
Zn: 0.5000 0.5000 0.0000 [1 per cell]
Zn: 0.5000 0.5000 0.3495 [2 per cell]

The formation energy is -0.350 eV/atom.



Record 2
DFT (PBE) results for an optimized crystal structure of Er9Sc4Zn11.

a b c (Å): 14.7359 21.1474 3.3403
angles (deg): 90.00 90.00 90.00
Space group Cmmm (No. 65)
Asymmetric unit:
Er: 0.0000 0.0000 0.0000 [2 per cell]
Er: 0.1154 0.2418 0.0000 [8 per cell]
Er: 0.1227 0.4150 0.0000 [8 per cell]
Sc: 0.1566 0.0926 0.0000 [8 per cell]
Zn: 0.0000 0.1347 0.5000 [4 per cell]
Zn: 0.0000 0.3321 0.5000 [4 per cell]
Zn: 0.0000 0.5000 0.5000 [2 per cell]
Zn: 0.2385 0.3223 0.5000 [8 per cell]
Zn: 0.2453 0.0000 0.5000 [4 per cell]

The formation energy is -0.254 eV/atom.



Record 3
DFT (PBE) results for an optimized crystal structure of ErZr3Sc6.

a b c (Å): 10.4261 3.2802 15.0811
angles (deg): 90.00 105.44 90.00
Space group P2_1/m (No. 11)
Asymmetric unit:
Er: 0.0197 0.2500 0.3108 [2 per cell]
Zr: 0.2514 0.2500 0.0337 [2 per cell]
Zr: 0.3322 0.7500 0.7107 [2 per cell]
Zr: 0.4521 0.2500 0.5867 [2 per cell]
Sc: 0.0447 0.7500 0.1035 [2 per cell]
Sc: 0.1372 0.2500 0.5494 [2 per cell]
Sc: 0.2118 0.7500 0.8647 [2 per cell]
Sc: 0.2744 0.7500 0.4190 [2 per cell]
Sc: 0.3425 0.2500 0.2429 [2 per cell]
Sc: 0.4884 0.2500 0.8968 [2 per cell]

Its energy relative to the lowest polymorph listed for this composition is 0.000 eV/atom. The formation energy is 0.102 eV/atom.



Record 4
DFT (PBE) results for an optimized crystal structure of ErZrSc.

a b c (Å): 3.1625 5.2728 9.4945
angles (deg): 90.00 90.00 90.00
Space group Pmmn (No. 59, origin choice 2)
Asymmetric unit:
Er: 0.2500 0.2500 0.0683 [2 per cell]
Zr: 0.2500 0.2500 0.4447 [2 per cell]
Sc: 0.2500 0.7500 0.2663 [2 per cell]

Its energy relative to the lowest polymorph listed for this composition is 0.163 eV/atom. The formation energy is 0.203 eV/atom.



Record 5
DFT (PBE) results for an optimized crystal structure of Er2Zr2Sc7.

a b c (Å): 5.1060 14.5913 7.4926
angles (deg): 90.00 90.00 90.00
Space group Imm2 (No. 44)
Asymmetric unit:
Er: 0.0000 0.2033 0.0000 [4 per cell]
Zr: 0.0000 0.0000 0.2018 [2 per cell]
Zr: 0.0000 0.5000 0.9899 [2 per cell]
Sc: 0.0000 0.0000 0.7840 [2 per cell]
Sc: 0.0000 0.1537 0.4892 [4 per cell]
Sc: 0.0000 0.3693 0.2884 [4 per cell]
Sc: 0.0000 0.3685 0.7024 [4 per cell]

Its energy relative to the lowest polymorph listed for this composition is 0.000 eV/atom. The formation energy is 0.120 eV/atom.



Record 6
DFT (PBE) results for an optimized crystal structure of Er3ZrSc8.

a b c (Å): 8.2247 8.2247 10.4947
angles (deg): 90.00 90.00 90.00
Space group I-42m (No. 121)
Asymmetric unit:
Er: 0.0000 0.0000 0.0000 [2 per cell]
Er: 0.0000 0.5000 0.2500 [4 per cell]
Zr: 0.0000 0.0000 0.5000 [2 per cell]
Sc: 0.1244 0.1244 0.2643 [8 per cell]
Sc: 0.2333 0.2333 0.5292 [8 per cell]

The formation energy is 0.633 eV/atom.



Record 7
DFT (PBE) results for an optimized crystal structure of Er12Zr2Sc5.

a b c (Å): 14.8689 8.9572 8.2079
angles (deg): 90.00 91.09 90.00
Space group C2/m (No. 12)
Asymmetric unit:
Er: 0.0596 0.0000 0.3274 [4 per cell]
Er: 0.0869 0.5000 0.8814 [4 per cell]
Er: 0.1271 0.1964 0.6659 [8 per cell]
Er: 0.1522 0.3165 0.2319 [8 per cell]
Zr: 0.0000 0.1666 0.0000 [4 per cell]
Sc: 0.0000 0.5000 0.5000 [2 per cell]
Sc: 0.1922 0.0000 0.0157 [4 per cell]
Sc: 0.2302 0.5000 0.5689 [4 per cell]

The formation energy is 0.153 eV/atom.



Record 8
DFT (PBE) results for an optimized crystal structure of ErZr2Sc9.

a b c (Å): 4.5991 4.5991 13.8882
angles (deg): 90.00 90.00 90.00
Space group P4/mmm (No. 123)
Asymmetric unit:
Er: 0.0000 0.0000 0.0000 [1 per cell]
Zr: 0.0000 0.0000 0.3341 [2 per cell]
Sc: 0.0000 0.5000 0.1764 [4 per cell]
Sc: 0.0000 0.5000 0.5000 [2 per cell]
Sc: 0.5000 0.5000 0.0000 [1 per cell]
Sc: 0.5000 0.5000 0.3367 [2 per cell]

The formation energy is 0.035 eV/atom.



Record 9
DFT (PBE) results for an optimized crystal structure of ErZr6Sc12.

a b c (Å): 12.2074 12.2074 11.5733
angles (deg): 90.00 90.00 120.00
Space group R-3m (No. 166, hexagonal axes)
Asymmetric unit:
Er: 0.0000 0.0000 0.0000 [3 per cell]
Zr: 0.0329 0.5165 0.7155 [18 per cell]
Sc: 0.0000 0.3792 0.5000 [18 per cell]
Sc: 0.0942 0.1884 0.3782 [18 per cell]

The formation energy is 0.469 eV/atom.



Record 10
DFT (PBE) results for an optimized crystal structure of Er4ZrSc5.

a b c (Å): 10.0135 10.0135 5.5223
angles (deg): 90.00 90.00 90.00
Space group I4mm (No. 107)
Asymmetric unit:
Er: 0.0000 0.3186 0.0000 [8 per cell]
Zr: 0.0000 0.0000 0.7729 [2 per cell]
Sc: 0.0000 0.0000 0.2464 [2 per cell]
Sc: 0.1853 0.1853 0.5150 [8 per cell]

The formation energy is 0.220 eV/atom.



Record 11
DFT (PBE) results for an optimized crystal structure of ErZr2Sc2.

a b c (Å): 8.6179 8.6179 3.3856
angles (deg): 90.00 90.00 90.00
Space group P4/mbm (No. 127)
Asymmetric unit:
Er: 0.0000 0.0000 0.0000 [2 per cell]
Zr: 0.1722 0.3278 0.5000 [4 per cell]
Sc: 0.1241 0.6241 0.0000 [4 per cell]

Its energy relative to the lowest polymorph listed for this composition is 0.000 eV/atom. The formation energy is 0.084 eV/atom.



Record 12
DFT (PBE) results for an optimized crystal structure of Er6ZrSc2.

a b c (Å): 16.2891 7.4103 5.2696
angles (deg): 90.00 108.06 90.00
Space group C2/m (No. 12)
Asymmetric unit:
Er: 0.0000 0.2331 0.0000 [4 per cell]
Er: 0.1658 0.2459 0.6753 [8 per cell]
Zr: 0.0000 0.0000 0.5000 [2 per cell]
Sc: 0.1634 0.5000 0.1756 [4 per cell]

Its energy relative to the lowest polymorph listed for this composition is 0.306 eV/atom. The formation energy is 0.720 eV/atom.



Record 13
DFT (PBE) results for an optimized crystal structure of Er2Zr5Sc4.

a b c (Å): 3.2439 7.9858 10.8246
angles (deg): 103.16 98.49 90.07
Space group P-1 (No. 2)
Asymmetric unit:
Er: 0.2230 0.3037 0.4472 [2 per cell]
Zr: 0.3193 0.0502 0.6387 [2 per cell]
Zr: 0.4119 0.7775 0.8240 [2 per cell]
Zr: 0.5000 0.5000 0.0000 [1 per cell]
Sc: 0.0456 0.8636 0.0916 [2 per cell]
Sc: 0.1295 0.5834 0.2599 [2 per cell]

The formation energy is 0.051 eV/atom.



Record 14
DFT (PBE) results for an optimized crystal structure of Er3ZrSc2.

a b c (Å): 16.5996 3.2795 13.5140
angles (deg): 90.00 116.30 90.00
Space group C2/m (No. 12)
Asymmetric unit:
Er: 0.0337 0.0000 0.2218 [4 per cell]
Er: 0.1033 0.5000 0.0250 [4 per cell]
Er: 0.2463 0.5000 0.3020 [4 per cell]
Zr: 0.0659 0.5000 0.6437 [4 per cell]
Sc: 0.1502 0.5000 0.4688 [4 per cell]
Sc: 0.1790 0.0000 0.8714 [4 per cell]

Its energy relative to the lowest polymorph listed for this composition is 0.103 eV/atom. The formation energy is 0.158 eV/atom.



Record 15
DFT (PBE) results for an optimized crystal structure of Er6ZrSc3.

a b c (Å): 10.2703 18.2191 6.0519
angles (deg): 90.00 90.00 90.00
Space group Cmc2_1 (No. 36)
Asymmetric unit:
Er: 0.0000 0.0526 0.0000 [4 per cell]
Er: 0.0000 0.2964 0.2253 [4 per cell]
Er: 0.1656 0.4640 0.3492 [8 per cell]
Er: 0.2406 0.2027 0.0244 [8 per cell]
Zr: 0.0000 0.2145 0.7036 [4 per cell]
Sc: 0.0000 0.3838 0.7803 [4 per cell]
Sc: 0.1780 0.1161 0.4708 [8 per cell]

The formation energy is 0.158 eV/atom.



Record 16
DFT (PBE) results for an optimized crystal structure of ErZr2Sc.

a b c (Å): 4.6732 4.5820 9.3613
angles (deg): 90.00 90.00 90.00
Space group Pmma (No. 51)
Asymmetric unit:
Er: 0.2500 0.0000 0.1361 [2 per cell]
Zr: 0.2500 0.0000 0.6204 [2 per cell]
Zr: 0.2500 0.5000 0.3839 [2 per cell]
Sc: 0.2500 0.5000 0.8572 [2 per cell]

Its energy relative to the lowest polymorph listed for this composition is 0.000 eV/atom. The formation energy is 0.053 eV/atom.



Record 17
DFT (PBE) results for an optimized crystal structure of ErZr2Sc6.

a b c (Å): 11.4831 13.4694 5.9766
angles (deg): 90.00 104.39 90.00
Space group C2/c (No. 15)
Asymmetric unit:
Er: 0.0000 0.1084 0.2500 [4 per cell]
Zr: 0.1357 0.4794 0.3692 [8 per cell]
Sc: 0.0497 0.3174 0.0219 [8 per cell]
Sc: 0.1476 0.0965 0.8189 [8 per cell]
Sc: 0.2309 0.3077 0.7019 [8 per cell]

The formation energy is 0.081 eV/atom.



Record 18
DFT (PBE) results for an optimized crystal structure of Er2Zr3Sc8.

a b c (Å): 7.1595 4.4693 10.6937
angles (deg): 90.00 94.44 90.00
Space group P2/m (No. 10)
Asymmetric unit:
Er: 0.2320 0.0000 0.0651 [2 per cell]
Zr: 0.2142 0.5000 0.5651 [2 per cell]
Zr: 0.5000 0.0000 0.5000 [1 per cell]
Sc: 0.0654 0.5000 0.8432 [2 per cell]
Sc: 0.0823 0.0000 0.3610 [2 per cell]
Sc: 0.3332 0.0000 0.7561 [2 per cell]
Sc: 0.3759 0.5000 0.2967 [2 per cell]

The formation energy is 0.133 eV/atom.



Record 19
DFT (PBE) results for an optimized crystal structure of ErZr3Sc7.

a b c (Å): 6.4630 6.4630 7.7855
angles (deg): 90.00 90.00 120.00
Space group P3m1 (No. 156)
Asymmetric unit:
Er: 0.0000 0.0000 0.0000 [1 per cell]
Zr: 0.1681 0.3363 0.3404 [3 per cell]
Sc: 0.0021 0.5010 0.0144 [3 per cell]
Sc: 0.3333 0.6667 0.6714 [1 per cell]
Sc: 0.3336 0.1668 0.6576 [3 per cell]

The formation energy is 0.244 eV/atom.



Record 20
DFT (PBE) results for an optimized crystal structure of Er6ZrSc2.

a b c (Å): 7.1219 7.1219 18.4431
angles (deg): 90.00 90.00 120.00
Space group R3m (No. 160, hexagonal axes)
Asymmetric unit:
Er: 0.0041 0.5021 0.0000 [9 per cell]
Er: 0.0439 0.5219 0.8036 [9 per cell]
Zr: 0.0000 0.0000 0.5470 [3 per cell]
Sc: 0.0000 0.0000 0.8170 [3 per cell]
Sc: 0.0000 0.0000 0.9898 [3 per cell]

Its energy relative to the lowest polymorph listed for this composition is 0.000 eV/atom. The formation energy is 0.414 eV/atom.